Here is a geometry-optimized AlCrInO4 structure from the Alexandria database. Energies are from PBE+U.

POSCAR file:
```
AlCrInO4
1.0
5.978 0.000 0.000
2.989 5.455 0.208
2.989 1.860 5.132
Cr In O Al
2 2 8 2
Direct
0.000 0.000 0.500
0.500 0.000 0.500
0.000 0.500 0.500
0.000 0.000 0.000
0.723 0.271 0.771
0.251 0.754 0.744
0.277 0.729 0.229
0.749 0.246 0.256
0.235 0.271 0.771
0.765 0.729 0.229
0.749 0.756 0.746
0.251 0.244 0.254
0.361 0.389 0.889
0.639 0.611 0.111
```

The total energy is -6.83 eV/atom. Its mass density is 5.19 g/cm³. The symmetry is No. 74. As for the density of states at the Fermi level: 0.257 states/eV per cell. Its magnetization is 4.00 μB/f.u.